# 1
VASP calculation (PBE) on a geometry-optimized Er4SbPbN structure.

Space-group type   No. 63
Formation energy from raw total energies   -0.956 eV/atom

Lattice parameters (Å, degrees): 8.584 8.584 6.579 90.00 90.00 134.89
Element x y z (fractional)
Er 0.000 0.500 0.000
Er 0.000 0.500 0.500
Er 0.091 0.909 0.750
Er 0.407 0.593 0.750
Er 0.500 0.000 0.000
Er 0.500 0.000 0.500
Er 0.593 0.407 0.250
Er 0.909 0.091 0.250
Sb 0.108 0.892 0.250
Sb 0.892 0.108 0.750
Pb 0.396 0.604 0.250
Pb 0.604 0.396 0.750
N 0.251 0.749 0.750
N 0.749 0.251 0.250



# 2
VASP calculation (PBE) on a geometry-optimized BaTlNi2 structure.

Space-group type   No. 216
Energy   -13.6 eV for the cell shown

Lattice parameters (Å, degrees): 5.112 5.112 5.112 60.00 60.00 60.00
Element x y z (fractional)
Ba 0.000 0.000 0.000
Tl 0.250 0.250 0.250
Ni 0.500 0.500 0.500
Ni 0.750 0.750 0.750



# 3
VASP calculation (PBE) on a geometry-optimized Sm3HgO6 structure.

Space-group type   No. 36
Formation energy from raw total energies   -2.563 eV/atom

Lattice parameters (Å, degrees): 7.383 7.383 5.769 90.00 90.00 102.14
Element x y z (fractional)
Sm 0.101 0.899 0.500
Sm 0.183 0.411 0.443
Sm 0.411 0.183 0.943
Sm 0.589 0.817 0.443
Sm 0.817 0.589 0.943
Sm 0.899 0.101 0.000
Hg 0.344 0.656 0.941
Hg 0.656 0.344 0.441
O 0.076 0.602 0.715
O 0.142 0.176 0.721
O 0.176 0.142 0.221
O 0.280 0.720 0.287
O 0.398 0.924 0.715
O 0.478 0.522 0.663
O 0.522 0.478 0.163
O 0.602 0.076 0.215
O 0.720 0.280 0.787
O 0.824 0.858 0.721
O 0.858 0.824 0.221
O 0.924 0.398 0.215



# 4
VASP calculation (PBE) on a geometry-optimized Na2ThMnN4 structure.

Space-group type   No. 31
Formation energy from raw total energies   -0.508 eV/atom

Lattice parameters (Å, degrees): 6.471 7.703 4.965 90.00 90.00 90.00
Element x y z (fractional)
Na 0.248 0.117 0.000
Na 0.252 0.883 0.500
Na 0.748 0.883 0.500
Na 0.752 0.117 0.000
Th 0.000 0.401 0.513
Th 0.500 0.599 0.013
Mn 0.000 0.702 0.939
Mn 0.500 0.298 0.439
N 0.000 0.476 0.016
N 0.000 0.689 0.598
N 0.234 0.804 0.024
N 0.266 0.196 0.524
N 0.500 0.311 0.098
N 0.500 0.524 0.516
N 0.734 0.196 0.524
N 0.766 0.804 0.024



# 5
VASP calculation (PBE) on a geometry-optimized NaNpGeO6 structure.

Space-group type   No. 163
Formation energy from raw total energies   -2.008 eV/atom

Lattice parameters (Å, degrees): 5.271 5.271 10.392 90.00 90.00 120.00
Element x y z (fractional)
Na 0.000 0.000 0.000
Na 0.000 0.000 0.500
Np 0.333 0.667 0.250
Np 0.667 0.333 0.750
Ge 0.333 0.667 0.750
Ge 0.667 0.333 0.250
O 0.016 0.376 0.647
O 0.016 0.640 0.853
O 0.360 0.376 0.853
O 0.360 0.984 0.647
O 0.376 0.016 0.147
O 0.376 0.360 0.353
O 0.624 0.640 0.647
O 0.624 0.984 0.853
O 0.640 0.016 0.353
O 0.640 0.624 0.147
O 0.984 0.360 0.147
O 0.984 0.624 0.353



# 6
VASP calculation (PBE) on a geometry-optimized RbLa4Se6 structure.

Space-group type   No. 63
Formation energy from raw total energies   -1.896 eV/atom

Lattice parameters (Å, degrees): 7.589 7.589 22.763 90.00 90.00 146.61
Element x y z (fractional)
Rb 0.151 0.849 0.750
Rb 0.849 0.151 0.250
La 0.101 0.899 0.134
La 0.101 0.899 0.366
La 0.368 0.632 0.042
La 0.368 0.632 0.458
La 0.632 0.368 0.542
La 0.632 0.368 0.958
La 0.899 0.101 0.634
La 0.899 0.101 0.866
Se 0.000 0.000 0.000
Se 0.000 0.000 0.500
Se 0.170 0.830 0.250
Se 0.272 0.728 0.579
Se 0.272 0.728 0.921
Se 0.467 0.533 0.153
Se 0.467 0.533 0.347
Se 0.533 0.467 0.653
Se 0.533 0.467 0.847
Se 0.728 0.272 0.079
Se 0.728 0.272 0.421
Se 0.830 0.170 0.750